Entry 1:
The following is a SCAN calculation of BaY2Cd at its PBEsol-relaxed geometry, from Alexandria via LeMat-Bulk.

```
BaY2Cd
1.0
-2.8364 -0.1466 2.4083
3.7805 -0.6743 4.4114
-0.2018 6.3884 -2.7278
Cd Y Ba
1 2 1
Cartesian
1.8902 -0.3371 2.2057
0.5874 2.1427 3.7012
0.1548 3.4249 0.3908
-1.4182 -0.0733 1.2042
```

Properties
As for the electronic total energy: -31.490 eV per atom. The value obtained for the formation energy from the elements is -0.31 eV/f.u. Its space-group type is No. 71.

---

Entry 2:
The following is a SCAN calculation of Al4CdO7 at its PBEsol-relaxed geometry, from Alexandria via LeMat-Bulk.

```
Al4CdO7
1.0
5.4120 -0.0182 -0.0133
1.7309 7.5477 -0.0069
1.7309 2.3018 7.1881
O Al Cd
14 8 2
Cartesian
4.8190 2.4598 4.5515
2.1130 5.0948 0.9565
4.7388 6.5625 5.3842
7.4447 7.1242 4.5947
4.0546 7.3714 2.6165
6.2975 8.3623 6.8254
5.7898 5.0584 3.3786
2.5762 1.4689 0.3425
6.7606 4.7364 6.2114
3.0838 4.7728 3.7894
3.5915 9.0649 5.8808
5.2821 0.7663 1.2871
1.4289 2.7070 2.5732
4.1349 3.2687 1.7837
1.5428 1.1096 1.7287
3.5909 6.4602 4.0193
2.5768 4.0379 2.2531
7.3309 8.7216 5.4392
6.2968 5.7933 4.9148
5.2828 3.3709 3.1487
4.6249 7.8551 6.6468
4.2488 1.9761 0.5211
5.7898 6.4458 1.4756
3.0838 3.3854 5.6923
```

Properties
As for the electronic total energy: -11.737 eV per atom. The uncorrected formation energy comes out at -2984 meV/atom. Its space-group type is No. 15.

---

Entry 3:
The following is a SCAN calculation of SrAuSe2 at its PBEsol-relaxed geometry, from Alexandria via LeMat-Bulk.

```
SrAuSe2
1.0
5.6790 0.0000 0.0000
0.0000 5.6790 0.0000
-2.8395 -2.8395 7.5132
Se Au Sr
4 2 2
Cartesian
1.4197 1.8384 5.6349
4.6779 1.4197 1.8783
-1.4197 -1.8384 5.6349
1.0011 4.2592 1.8783
0.0000 2.8395 3.7566
0.0000 0.0000 0.0000
2.8395 2.8395 0.0000
2.8395 0.0000 3.7566
```

Properties
As for the electronic total energy: -33.731 eV per atom. For the energy above the most stable polymorph in this dataset, the calculation gives 0.000 eV per atom. The uncorrected formation energy comes out at -833 meV/atom. Its space-group type is No. 122.

---

Entry 4:
The following is a SCAN calculation of LaTe2PC at its PBEsol-relaxed geometry, from Alexandria via LeMat-Bulk.

```
LaTe2PC
1.0
-4.2449 1.0351 0.2910
-0.4993 -0.3546 -6.0217
-1.3998 -5.8705 0.4618
La Te P C
1 2 1 1
Cartesian
0.0000 0.0000 0.0000
-0.6999 -2.9353 0.2309
-0.2496 -0.1773 -3.0108
-3.0720 -2.5950 -2.6345
-2.1224 0.5175 0.1455
```

Properties
As for the electronic total energy: -26.264 eV per atom. The uncorrected formation energy comes out at 1357 meV/atom. Its space-group type is No. 123.